TlP2Au | Alexandria | meta-GGA SCAN | single point on PBEsol structure; space group = P4/mmm, No. 123; energy relative to the lowest polymorph listed for this composition = 82.43 kJ/mol of atoms; energy of formation from the pure elements = 74.1 kJ per mole of atoms; E_tot = -39.810 eV/atom
1.0
3.959 0.000 0.000
0.000 3.959 0.000
0.000 0.000 4.806
Tl P Au
1 2 1
Direct
0.000 0.000 0.000
0.000 0.500 0.500
0.500 0.000 0.500
0.500 0.500 0.000

***

YZnOs | Alexandria | meta-GGA SCAN | single point on PBEsol structure; space group = F-43m, No. 216; energy of formation from the pure elements = 86.6 kJ per mole of atoms; E_tot = -36.848 eV/atom
1.0
0.000 3.193 3.193
3.193 0.000 3.193
3.193 3.193 0.000
Y Zn Os
1 1 1
Direct
0.000 0.000 0.000
0.750 0.750 0.750
0.250 0.250 0.250

***

Y2Zn2Cd | Alexandria | meta-GGA SCAN | single point on PBEsol structure; space group = I4/mmm, No. 139; energy of formation from the pure elements = -15.3 kJ per mole of atoms; E_tot = -22.785 eV/atom
1.0
-1.776 1.776 9.101
1.776 -1.776 9.101
1.776 1.776 -9.101
Y Zn Cd
2 2 1
Direct
0.109 0.109 0.000
0.891 0.891 0.000
0.250 0.750 0.500
0.750 0.250 0.500
0.500 0.500 0.000